[1]
This record from the Alexandria database describes a relaxed structure of CaBeOs2. The functional is PBE.

The size of the total moment is 0.000 μB/cell. The value obtained for the formation energy from the elements is 0.541 eV per atom. For the density of states at the Fermi level, the calculation gives 2.34 states/eV/f.u.

Cell lengths 6.253, 6.253, 6.253 Å; angles 90.00, 90.00, 90.00 degrees
Sites, in units of the cell vectors:
Ca  0.000  0.000  0.000
Ca  0.000  0.500  0.500
Ca  0.500  0.000  0.500
Ca  0.500  0.500  0.000
Be  0.250  0.250  0.250
Be  0.250  0.750  0.750
Be  0.750  0.250  0.750
Be  0.750  0.750  0.250
Os  0.000  0.000  0.500
Os  0.000  0.500  0.000
Os  0.250  0.250  0.750
Os  0.250  0.750  0.250
Os  0.500  0.000  0.000
Os  0.500  0.500  0.500
Os  0.750  0.250  0.250
Os  0.750  0.750  0.750

***

[2]
This record from the Alexandria database describes a relaxed structure of CaBeOs2. The functional is PBE.

The size of the total moment is 0.000 μB/cell. The value obtained for the formation energy from the elements is 0.448 eV per atom. For the density of states at the Fermi level, the calculation gives 2.54 states/eV/f.u.

Cell lengths 3.070, 4.589, 8.389 Å; angles 90.00, 90.00, 90.00 degrees
Sites, in units of the cell vectors:
Ca  0.000  0.000  0.000
Ca  0.500  0.500  0.000
Be  0.000  0.000  0.500
Be  0.500  0.500  0.500
Os  0.000  0.500  0.294
Os  0.000  0.500  0.706
Os  0.500  0.000  0.294
Os  0.500  0.000  0.706